# Ho2CdCo2

Crystalline Ho2CdCo2 at its relaxed geometry (PBE-GGA, Alexandria).

Cell lengths 7.092, 7.092, 3.902 Å; angles 90.00, 90.00, 148.66 degrees
Fractional coordinates of all 5 atoms:
Ho1 0.138 0.862 0.000
Ho2 0.862 0.138 0.000
Cd1 0.500 0.500 0.500
Co1 0.292 0.708 0.500
Co2 0.708 0.292 0.500

For the total DFT energy (no corrections), the calculation gives -5.134 eV/atom.